Computed, not measured: a relaxed Ho4ErAg crystal at the PBE level of DFT.

Calculated values
Energy relative to the lowest polymorph listed for this composition (meV per atom): 125
Formation energy (meV/atom): 44.9
SG: Cmc2_1, No. 36
Total magnetization (μB per formula unit): 0.000
Crystal system: orthorhombic

Cell lengths 10.683, 10.683, 6.372 Å; angles 90.00, 90.00, 150.79 degrees
Sites, in units of the cell vectors:
Ho: 0.035 0.965 0.500
Ho: 0.177 0.823 0.306
Ho: 0.244 0.756 0.792
Ho: 0.434 0.566 0.668
Ho: 0.566 0.434 0.168
Ho: 0.756 0.244 0.292
Ho: 0.823 0.177 0.806
Ho: 0.965 0.035 0.000
Er: 0.365 0.635 0.165
Er: 0.635 0.365 0.665
Ag: 0.103 0.897 0.910
Ag: 0.897 0.103 0.410

Computed, not measured: a relaxed NdAuBr4 crystal at the PBE level of DFT.

Calculated values
Uncorrected formation energy (eV/atom): -1.239
SG: C2/c, No. 15
Total magnetization (μB per formula unit): 0.000
Crystal system: monoclinic

Cell lengths 10.403, 10.403, 7.549 Å; angles 102.18, 102.18, 132.56 degrees
Sites, in units of the cell vectors:
Nd: 0.058 0.942 0.750
Nd: 0.942 0.058 0.250
Au: 0.332 0.668 0.250
Au: 0.668 0.332 0.750
Br: 0.034 0.397 0.260
Br: 0.191 0.276 0.701
Br: 0.276 0.191 0.201
Br: 0.397 0.034 0.760
Br: 0.603 0.966 0.240
Br: 0.724 0.809 0.799
Br: 0.809 0.724 0.299
Br: 0.966 0.603 0.740

Computed, not measured: a relaxed HfCo4Ru crystal at the PBE level of DFT.

Calculated values
Formation energy (meV/atom): -190.4
SG: F-43m, No. 216
Total magnetization (μB per formula unit): 6.603
Crystal system: cubic

Cell lengths 4.784, 4.784, 4.784 Å; angles 60.00, 60.00, 60.00 degrees
Sites, in units of the cell vectors:
Hf: 0.000 0.000 0.000
Co: 0.125 0.625 0.625
Co: 0.625 0.125 0.625
Co: 0.625 0.625 0.125
Co: 0.625 0.625 0.625
Ru: 0.250 0.250 0.250

Computed, not measured: a relaxed Cs2ErTh2Te6 crystal at the PBE level of DFT.

Calculated values
Uncorrected formation energy (eV/atom): -1.273
SG: C2/m, No. 12
Total magnetization (μB per formula unit): 0.017
Crystal system: monoclinic

Cell lengths 7.738, 7.738, 9.634 Å; angles 97.82, 97.82, 119.87 degrees
Sites, in units of the cell vectors:
Cs: 0.168 0.832 0.000
Cs: 0.832 0.168 0.000
Er: 0.000 0.000 0.500
Th: 0.333 0.667 0.500
Th: 0.667 0.333 0.500
Te: 0.068 0.393 0.694
Te: 0.263 0.263 0.307
Te: 0.393 0.068 0.694
Te: 0.607 0.932 0.306
Te: 0.737 0.737 0.693
Te: 0.932 0.607 0.306

Computed, not measured: a relaxed CuMo2Pt crystal at the PBE level of DFT.

Calculated values
Energy relative to the lowest polymorph listed for this composition (meV per atom): 37
Formation energy (meV/atom): -15.9
SG: Pmmm, No. 47
Total magnetization (μB per formula unit): 0.000
Crystal system: orthorhombic

Cell lengths 3.734, 3.794, 4.172 Å; angles 90.00, 90.00, 90.00 degrees
Sites, in units of the cell vectors:
Cu: 0.000 0.000 0.000
Mo: 0.000 0.500 0.500
Mo: 0.500 0.000 0.500
Pt: 0.500 0.500 0.000

Computed, not measured: a relaxed Cd8Hg2Sb crystal at the PBE level of DFT.

Calculated values
Uncorrected formation energy (eV/atom): 0.054
Energy relative to the lowest polymorph listed for this composition (meV per atom): 14
SG: C2/m, No. 12
Total magnetization (μB per formula unit): 0.000
Crystal system: monoclinic

Cell lengths 7.988, 7.988, 5.761 Å; angles 108.53, 108.53, 114.03 degrees
Sites, in units of the cell vectors:
Cd: 0.094 0.321 0.602
Cd: 0.230 0.770 0.000
Cd: 0.321 0.094 0.602
Cd: 0.404 0.404 0.168
Cd: 0.596 0.596 0.832
Cd: 0.679 0.906 0.398
Cd: 0.770 0.230 0.000
Cd: 0.906 0.679 0.398
Hg: 0.306 0.694 0.500
Hg: 0.694 0.306 0.500
Sb: 0.000 0.000 0.000

We obtain total energy values of -4.243 -3.695 -8.133 -4.906 -7.966 -1.042 eV per atom for the records listed above, in that order.
We obtain calculated density values of 8.7 4.3 11.1 5.7 12.7 8.7 g/cm³ for the records listed above, in that order.